Computed, not measured: a geometry-optimized KNdCoF6 structure at the PBE with a Hubbard U level of DFT.

Cell: 7.7563 7.3365 7.4348 Å, 119.56 121.44 90.00°
Fractional coordinates of all 18 atoms:
1 Co 0.5000 0.0000 0.0000
2 Co 0.5000 0.5000 0.0000
3 F 0.1762 0.8401 0.7330
4 F 0.8740 0.1240 0.7480
5 F 0.1762 0.3929 0.7330
6 F 0.8238 0.1599 0.2670
7 F 0.4431 0.6071 0.2670
8 F 0.5569 0.8401 0.7330
9 F 0.4007 0.1507 0.8014
10 F 0.5993 0.8493 0.1986
11 F 0.4431 0.1599 0.2670
12 F 0.5569 0.3929 0.7330
13 F 0.8238 0.6071 0.2670
14 F 0.1260 0.8760 0.2520
15 Nd 0.0000 0.0000 0.5000
16 Nd 0.5000 0.0000 0.5000
17 K 0.8332 0.5832 0.6665
18 K 0.1668 0.4168 0.3335

Computed properties:
density of states at the Fermi level: 0.000 states/eV per atom
spin magnetization: 0.33 μB per atom
total energy: -5.580 eV per atom